[1]
Computed, not measured: a crystal of CuHgO2F relaxed with PBEsol at the SCAN level of DFT.

Output
The total moment comes out at 0.07 μB/cell. As for the density of states at the Fermi level: 2.3 states/eV/cell. The uncorrected formation energy is -538 meV/atom.

Unit cell a=3.8209 b=3.8209 c=3.8059 alpha=90.00 beta=90.00 gamma=90.00
With the nearest neighbours (Å) after each atom.
Fractional positions:
1 Cu 0.0000 0.0000 0.0000  2 F 1.90, 4 O 1.91
2 Hg 0.5000 0.5000 0.5000  8 O 2.70, 4 F 2.70
3 O 0.0000 0.5000 0.0000  2 Cu 1.91
4 O 0.5000 0.0000 0.0000  2 Cu 1.91
5 F 0.0000 0.0000 0.5000  2 Cu 1.90



[2]
Computed, not measured: a crystal of CsP2IO relaxed with PBEsol at the SCAN level of DFT.

Output
The total moment comes out at 2.49 μB/cell. As for the density of states at the Fermi level: 2.6 states/eV/cell. The uncorrected formation energy is 587 meV/atom.

Unit cell a=5.4033 b=5.4033 c=4.2488 alpha=90.00 beta=90.00 gamma=90.00
With the nearest neighbours (Å) after each atom.
Fractional positions:
1 Cs 0.0000 0.0000 0.0000  8 P 3.44, 4 O 3.82
2 P 0.0000 0.5000 0.5000  2 I 2.70
3 P 0.5000 0.0000 0.5000  2 I 2.70
4 I 0.5000 0.5000 0.5000  2 O 2.12
5 O 0.5000 0.5000 0.0000  2 I 2.12